Here is a relaxed structure of La2Tb3CeP6 from Alexandria. Energies are from GGA-PBE.

For the energy of formation from the pure elements, the calculation gives -1.5750 eV per atom. The uncorrected energy is -6.75 eV per atom.

Geometry as extended XYZ:
```
12
Lattice="4.123 0.000 0.000 0.000 8.239 0.304 -2.061 -2.364 8.653" Properties=species:S:1:pos:R:3 pbc="T T T"
Tb 0.000 6.078 3.147
Tb 2.061 -0.203 5.810
Tb 2.061 4.119 0.152
P 0.000 1.779 5.947
P 2.061 -0.173 2.893
P 2.061 4.095 3.010
P 2.061 -0.306 8.674
P 0.000 6.048 6.064
P 0.000 6.180 0.283
Ce 2.061 0.000 0.000
La 2.061 3.911 5.975
La 0.000 1.963 2.982
```